one) Entry from Alexandria via LeMat-Bulk: a relaxed structure of Cs3Tl4Se4 (PBE).

## Properties
Fermi-level density of states   2.73 states/eV/f.u.
Theoretical density   6.250 g/cm3
Symmetry   Immm, No. 71

Cell: 4.7837 10.1935 10.0687 Å, 120.41 103.74 90.00°
Fractional coordinates of all 11 atoms:
Se  0.2153  0.7153  0.4306
Tl  0.3300  0.5207  0.6600
Tl  0.6700  0.4793  0.3400
Tl  0.3300  0.1393  0.6600
Cs  0.0000  0.5000  0.0000
Cs  0.8890  0.8890  0.7779
Se  0.5000  0.2308  0.0000
Tl  0.6700  0.8607  0.3400
Se  0.7847  0.2847  0.5694
Se  0.5000  0.7692  0.0000
Cs  0.1110  0.1110  0.2221

=====

two) Entry from Alexandria via LeMat-Bulk: a relaxed structure of Cs3Tl4Se4 (PBE).

## Properties
Fermi-level density of states   7.27 states/eV/f.u.
Theoretical density   5.894 g/cm3
Symmetry   Amm2, No. 38

Cell: 4.6831 7.8106 12.3690 Å, 90.00 90.00 107.44°
Fractional coordinates of all 11 atoms:
Se  0.0112  0.0223  0.5000
Tl  0.6464  0.2927  0.5000
Se  0.6980  0.3960  0.7685
Cs  0.2915  0.5830  0.0000
Se  0.9752  0.9505  0.0000
Tl  0.5948  0.1896  0.0000
Cs  0.3712  0.7425  0.3255
Tl  0.0705  0.1409  0.2473
Cs  0.3712  0.7425  0.6745
Se  0.6980  0.3960  0.2315
Tl  0.0705  0.1409  0.7527

=====

Computed energies relative to the best structure, in eV/atom: one) 0.000; two) 0.025

=====

one) Entry from Alexandria via LeMat-Bulk: a relaxed structure of CsU4Se8 (PBE).

## Properties
Fermi-level density of states   23.80 states/eV/f.u.
Theoretical density   6.695 g/cm3
Symmetry   Cm, No. 8

Cell: 4.2162 10.0173 10.5827 Å, 81.74 78.51 77.85°
Fractional coordinates of all 13 atoms:
Se  0.4756  0.3223  0.7265
Se  0.5557  0.6810  0.2075
U  0.1775  0.5059  0.1392
Se  0.8510  0.9886  0.3095
U  0.8539  0.4974  0.7948
Se  0.2264  0.6582  0.8890
Se  0.8049  0.3453  0.0450
U  0.3698  0.8265  0.4340
Se  0.1803  0.0150  0.6244
Se  0.8891  0.6678  0.5541
U  0.6615  0.1773  0.4998
Cs  0.5171  0.0004  0.9653
Se  0.1416  0.3364  0.3803

=====

two) Entry from Alexandria via LeMat-Bulk: a relaxed structure of CsU4Se8 (PBE).

## Properties
Fermi-level density of states   18.12 states/eV/f.u.
Theoretical density   5.402 g/cm3
Symmetry   R-3m, No. 166

Cell: 8.2625 8.2625 10.1204 Å, 65.91 65.91 60.00°
Fractional coordinates of all 13 atoms:
U  0.5000  0.5000  0.0000
Se  0.2756  0.2756  0.1733
Se  0.2747  0.7749  0.1754
U  0.0000  0.5000  0.0000
U  0.5000  0.0000  0.0000
Se  0.7749  0.2747  0.1754
Se  0.2251  0.7253  0.8246
Cs  0.5000  0.5000  0.5000
Se  0.7244  0.7244  0.8267
Se  0.7749  0.7749  0.1754
Se  0.2251  0.2251  0.8246
U  0.0000  0.0000  0.0000
Se  0.7253  0.2251  0.8246

=====

Computed energies relative to the best structure, in eV/atom: one) 0.058; two) 0.000